Entry 1:
Entry from the Alexandria database: crystalline MnBeRe3 at its relaxed geometry (PBE).

a = 4.082 Å, b = 4.082 Å, c = 4.082 Å
α = 90.00°, β = 90.00°, γ = 90.00°
Fractional coordinates of all 5 atoms:
Mn (0.000, 0.000, 0.000)
Be (0.500, 0.500, 0.500)
Re (0.000, 0.500, 0.500)
Re (0.500, 0.000, 0.500)
Re (0.500, 0.500, 0.000)

## Properties
M_tot (μB per cell): 0.00
Calculated volume (Å³/cell): 68.0
Energy relative to the elements (eV/atom): 0.8395
Energy above the most stable polymorph in this dataset (meV per atom): 0

Entry 2:
Entry from the Alexandria database: crystalline Mn2BeRe at its relaxed geometry (PBE).

a = 2.557 Å, b = 3.905 Å, c = 4.781 Å
α = 90.00°, β = 102.00°, γ = 90.00°
Fractional coordinates of all 4 atoms:
Mn (0.000, 0.000, 0.000)
Mn (0.272, 0.500, 0.765)
Be (0.418, 0.000, 0.518)
Re (0.773, 0.500, 0.283)

## Properties
M_tot (μB per cell): 0.23
Calculated volume (Å³/cell): 46.7
Energy relative to the elements (eV/atom): 0.0279

Entry 3:
Entry from the Alexandria database: crystalline Mn2BeRe at its relaxed geometry (PBE).

a = 4.758 Å, b = 4.758 Å, c = 2.545 Å
α = 101.22°, β = 101.22°, γ = 117.94°
Fractional coordinates of all 4 atoms:
Mn (0.000, 0.500, 0.000)
Mn (0.500, 0.000, 0.000)
Be (0.000, 0.000, 0.500)
Re (0.500, 0.500, 0.500)

## Properties
M_tot (μB per cell): 2.76
Calculated volume (Å³/cell): 47.1
Energy relative to the elements (eV/atom): 0.0884

Entry 4:
Entry from the Alexandria database: crystalline MnBeReRu2 at its relaxed geometry (PBE).

a = 4.356 Å, b = 4.356 Å, c = 4.401 Å
α = 90.00°, β = 90.00°, γ = 90.00°
Fractional coordinates of all 5 atoms:
Mn (0.000, 0.000, 0.000)
Be (0.500, 0.500, 0.500)
Re (0.000, 0.000, 0.500)
Ru (0.000, 0.500, 0.000)
Ru (0.500, 0.000, 0.000)

## Properties
M_tot (μB per cell): 0.00
Calculated volume (Å³/cell): 83.5
Energy relative to the elements (eV/atom): 1.5727

Entry 5:
Entry from the Alexandria database: crystalline Mn2BeReSn at its relaxed geometry (PBE).

a = 4.607 Å, b = 4.607 Å, c = 4.177 Å
α = 90.00°, β = 90.00°, γ = 90.00°
Fractional coordinates of all 5 atoms:
Mn (0.000, 0.500, 0.000)
Mn (0.500, 0.000, 0.000)
Be (0.000, 0.000, 0.500)
Re (0.500, 0.500, 0.500)
Sn (0.000, 0.000, 0.000)

## Properties
M_tot (μB per cell): 2.91
Calculated volume (Å³/cell): 88.7
Energy relative to the elements (eV/atom): 2.2631

Entry 6:
Entry from the Alexandria database: crystalline Sr2MnBeRe at its relaxed geometry (PBE).

a = 5.918 Å, b = 5.918 Å, c = 4.492 Å
α = 90.00°, β = 90.00°, γ = 90.00°
Fractional coordinates of all 5 atoms:
Sr (0.000, 0.500, 0.000)
Sr (0.500, 0.000, 0.000)
Mn (0.000, 0.000, 0.500)
Be (0.500, 0.500, 0.500)
Re (0.000, 0.000, 0.000)

## Properties
M_tot (μB per cell): 2.27
Calculated volume (Å³/cell): 157.3
Energy relative to the elements (eV/atom): 1.1941